1.
A relaxed structure of Tb2YPa2Ru5. Source: Alexandria, functional GGA-PBE.

Cell: 10.6150 10.6150 3.7089 Å, 90.00 90.00 90.00°
Last column: nearest neighbours and their distance in Å.
Atoms (fractional coordinates):
Tb1 0.1736 0.3264 0.0000  1 Pa 2.90, 2 Ru 3.20
Tb2 0.3264 0.8264 0.0000  1 Pa 2.90, 2 Ru 3.20
Tb3 0.6736 0.1736 0.0000  1 Pa 2.90, 2 Ru 3.20
Tb4 0.8264 0.6736 0.0000  1 Pa 2.90, 2 Ru 3.20
Y1 0.0000 0.0000 0.0000  8 Ru 2.96
Y2 0.5000 0.5000 0.0000  8 Ru 2.96
Pa1 0.1332 0.6332 0.0000  6 Ru 2.62-2.73, 1 Tb 2.90
Pa2 0.3668 0.1332 0.0000  6 Ru 2.62-2.73, 1 Tb 2.90
Pa3 0.6332 0.8668 0.0000  6 Ru 2.62-2.73, 1 Tb 2.90
Pa4 0.8668 0.3668 0.0000  6 Ru 2.62-2.73, 1 Tb 2.90
Ru1 0.0000 0.5000 0.5000  4 Pa 2.73
Ru2 0.0559 0.7897 0.5000  2 Pa 2.62
Ru3 0.2103 0.0559 0.5000  2 Pa 2.62
Ru4 0.2897 0.5559 0.5000  2 Pa 2.62
Ru5 0.4441 0.2897 0.5000  2 Pa 2.62
Ru6 0.5000 0.0000 0.5000  4 Pa 2.73
Ru7 0.5559 0.7103 0.5000  2 Pa 2.62
Ru8 0.7103 0.4441 0.5000  2 Pa 2.62
Ru9 0.7897 0.9441 0.5000  2 Pa 2.62
Ru10 0.9441 0.2103 0.5000  2 Pa 2.62

Output
Size of the total moment ... 0.000 μB/atom
DOS at the Fermi energy ... 0.669 states/eV/atom
Raw total energy ... -8.416 eV/atom

2.
A relaxed structure of Ag2C. Source: Alexandria, functional GGA-PBE.

Cell: 3.1086 3.1086 10.5010 Å, 90.00 90.00 120.00°
Last column: nearest neighbours and their distance in Å.
Atoms (fractional coordinates):
Ag1 0.3333 0.6667 0.1118  3 C 2.31
Ag2 0.3333 0.6667 0.3882  3 C 2.31
Ag3 0.6667 0.3333 0.6118  3 C 2.31
Ag4 0.6667 0.3333 0.8882  3 C 2.31
C1 0.3333 0.6667 0.7500  6 Ag 2.31
C2 0.6667 0.3333 0.2500  6 Ag 2.31

Output
Energy above the lowest structure with this stoichiometry ... 80.9 kJ per mole of atoms
Size of the total moment ... 0.000 μB/atom
DOS at the Fermi energy ... 0.372 states/eV/atom
Raw total energy ... -3.511 eV/atom